No. 1
Compound: Sm5Tl2Ru
Source: the Alexandria database
Functional: PBE
Structure: optimized geometry

Structure (CIF):
```
data_Sm5Tl2Ru
_chemical_formula_sum 'Sm10 Tl4 Ru2'
_cell_length_a 8.8473
_cell_length_b 8.8473
_cell_length_c 12.5468
_cell_angle_alpha 90.00
_cell_angle_beta 90.00
_cell_angle_gamma 143.10
_symmetry_space_group_name_H-M 'P 1'
_symmetry_Int_Tables_number 1
loop_
_symmetry_equiv_pos_as_xyz
'x,y,z'
loop_
_atom_site_label
_atom_site_fract_x
_atom_site_fract_y
_atom_site_fract_z
Sm1 0.0688 0.9312 0.6026
Sm2 0.0688 0.9312 0.8974
Sm3 0.2926 0.7074 0.5777
Sm4 0.2926 0.7074 0.9223
Sm5 0.3001 0.6999 0.2500
Sm6 0.6999 0.3001 0.7500
Sm7 0.7074 0.2926 0.0777
Sm8 0.7074 0.2926 0.4223
Sm9 0.9312 0.0688 0.1026
Sm10 0.9312 0.0688 0.3974
Tl1 0.1234 0.8766 0.1318
Tl2 0.1234 0.8766 0.3682
Tl3 0.8766 0.1234 0.6318
Tl4 0.8766 0.1234 0.8682
Ru1 0.1829 0.8171 0.7500
Ru2 0.8171 0.1829 0.2500
```

Summary:
DFT formation energy in eV per atom: 0.03
Fermi-level density of states in states/eV per atom: 0.98


No. 2
Compound: ZnCdI2N
Source: the Alexandria database
Functional: PBE
Structure: optimized geometry

Structure (CIF):
```
data_ZnCdI2N
_chemical_formula_sum 'Zn1 Cd1 I2 N1'
_cell_length_a 5.9026
_cell_length_b 5.9026
_cell_length_c 3.8511
_cell_angle_alpha 90.00
_cell_angle_beta 90.00
_cell_angle_gamma 90.00
_symmetry_space_group_name_H-M 'P 1'
_symmetry_Int_Tables_number 1
loop_
_symmetry_equiv_pos_as_xyz
'x,y,z'
loop_
_atom_site_label
_atom_site_fract_x
_atom_site_fract_y
_atom_site_fract_z
Zn1 0.0000 0.0000 0.0000
Cd1 0.5000 0.5000 0.5000
I1 0.0000 0.5000 0.0000
I2 0.5000 0.0000 0.0000
N1 0.0000 0.0000 0.5000
```

Summary:
Fermi-level density of states in states/eV per atom: 0.39
E_form (uncorrected) in eV per atom: 0.490


no.,uncorrected energy (eV per atom)
1,-4.670
2,-2.233